--- P ---
Computed, not measured: Zr2TiNiN after structural relaxation at the PBE level of DFT.

- Crystal system: tetragonal
- Total magnetic moment: 0.0 μB/cell

Cell: 3.4594 3.4594 12.5922 Å, 90.00 90.00 90.00°
With the nearest neighbours (Å) after each atom.
Element x y z (fractional)
Zr: 0.0000 0.5000 0.7346  1 N 2.21
Zr: 0.0000 0.5000 0.0859  5 N 2.21-2.45
Zr: 0.5000 0.0000 0.9141  5 N 2.21-2.45
Zr: 0.5000 0.0000 0.2654  1 N 2.21
Ti: 0.0000 0.0000 0.5000  4 Ti 2.45, 4 Ni 2.70
Ti: 0.5000 0.5000 0.5000  4 Ti 2.45, 4 Ni 2.70
Ni: 0.5000 0.0000 0.6647  4 Zr 2.60, 4 Ti 2.70
Ni: 0.0000 0.5000 0.3353  4 Zr 2.60, 4 Ti 2.70
N: 0.5000 0.0000 0.0896  6 Zr 2.21-2.45
N: 0.0000 0.5000 0.9104  6 Zr 2.21-2.45

---

--- Q ---
Computed, not measured: Zr2TiNiN after structural relaxation at the PBE level of DFT.

- Crystal system: tetragonal
- Total magnetic moment: 0.4 μB/cell

Cell: 4.4450 4.4450 4.0218 Å, 90.00 90.00 90.00°
With the nearest neighbours (Å) after each atom.
Element x y z (fractional)
Ni: 0.5000 0.5000 0.5000  8 Zr 3.00, 4 Ti 3.14
N: 0.0000 0.0000 0.0000  2 Ti 2.01, 4 Zr 2.22
Zr: 0.0000 0.5000 0.0000  2 N 2.22
Zr: 0.5000 0.0000 0.0000  2 N 2.22
Ti: 0.0000 0.0000 0.5000  2 N 2.01

---

Order from most stable to least stable according to the calculation: Q, P